# 1
First-principles (PBE-GGA) data for a geometry-optimized SbRu4Pb structure, as listed in Alexandria.

```
SbRu4Pb
1.0
2.025 2.691 4.102
-2.953 3.623 2.515
-1.747 -0.952 4.921
Ru Sb Pb
4 1 1
Cartesian
-2.478 3.820 5.585
0.007 3.355 6.377
-1.004 2.012 4.330
-1.876 1.537 6.785
-2.007 4.021 8.653
0.000 0.000 0.000
```

Properties
**SG**: F-43m
**ΔE_f (raw)**: 0.562 eV per atom
**Spin magnetization**: 0.0 Bohr magnetons per cell
**DFT total energy**: -41.56 eV per formula unit
**ρ**: 11.52 g/cm3



# 2
First-principles (PBE-GGA) data for a geometry-optimized Sc2SbRuPb structure, as listed in Alexandria.

```
Sc2SbRuPb
1.0
-2.508 -4.332 -0.099
3.794 -2.133 -2.747
2.271 -1.412 4.233
Pb Ru Sc Sb
1 1 2 1
Cartesian
1.897 -1.067 -1.373
0.000 0.000 0.000
1.136 -0.706 2.116
-1.254 -2.166 -0.050
1.779 -3.938 0.693
```

Properties
**SG**: P4/mmm
**ΔE_f (raw)**: -0.177 eV per atom
**Spin magnetization**: 0.0 Bohr magnetons per cell
**DFT total energy**: -30.65 eV per formula unit
**ρ**: 6.69 g/cm3



# 3
First-principles (PBE-GGA) data for a geometry-optimized SiSbRu2Pb structure, as listed in Alexandria.

```
SiSbRu2Pb
1.0
-3.544 0.921 -3.222
-3.888 -2.027 3.698
-0.545 4.469 1.877
Si Pb Ru Sb
1 1 2 1
Cartesian
-3.989 1.681 1.176
-1.944 -1.013 1.849
-1.772 0.460 -1.611
-0.273 2.234 0.938
0.000 0.000 0.000
```

Properties
**SG**: P4/mmm
**ΔE_f (raw)**: 1.601 eV per atom
**Spin magnetization**: 2.3 Bohr magnetons per cell
**DFT total energy**: -23.80 eV per formula unit
**ρ**: 6.80 g/cm3



# 4
First-principles (PBE-GGA) data for a geometry-optimized SnSbRuPb2 structure, as listed in Alexandria.

```
SnSbRuPb2
1.0
5.333 0.000 0.000
0.000 5.109 0.000
0.000 0.000 5.333
Sb Pb Sn Ru
1 2 1 1
Cartesian
0.000 2.554 0.000
2.666 0.000 0.000
0.000 0.000 2.666
2.666 2.554 2.666
0.000 0.000 0.000
```

Properties
**SG**: P4/mmm
**ΔE_f (raw)**: 0.303 eV per atom
**Spin magnetization**: 0.0 Bohr magnetons per cell
**DFT total energy**: -23.30 eV per formula unit
**ρ**: 8.64 g/cm3



# 5
First-principles (PBE-GGA) data for a geometry-optimized Sb2TeRuPb structure, as listed in Alexandria.

```
Sb2TeRuPb
1.0
-2.350 0.965 5.141
-4.577 -3.108 -1.509
2.526 -4.709 2.038
Ru Sb Pb Te
1 2 1 1
Cartesian
-2.200 -3.426 2.835
-1.175 0.482 2.571
-2.288 -1.554 -0.754
0.000 0.000 0.000
1.263 -2.354 1.019
```

Properties
**SG**: P4/mmm
**ΔE_f (raw)**: 1.650 eV per atom
**Spin magnetization**: 2.2 Bohr magnetons per cell
**DFT total energy**: -16.12 eV per formula unit
**E above lowest polymorph**: 1.365 eV per atom
**ρ**: 6.00 g/cm3



# 6
First-principles (PBE-GGA) data for a geometry-optimized Sb2TeRuPb structure, as listed in Alexandria.

```
Sb2TeRuPb
1.0
-0.059 0.413 5.000
-5.012 0.217 -0.077
-0.261 -5.864 0.481
Sb Pb Te Ru
2 1 1 1
Cartesian
-0.029 0.206 2.500
-2.506 0.109 -0.038
-2.666 -2.617 2.702
-0.131 -2.932 0.241
0.000 0.000 0.000
```

Properties
**SG**: P4/mmm
**ΔE_f (raw)**: 0.286 eV per atom
**Spin magnetization**: 0.0 Bohr magnetons per cell
**DFT total energy**: -22.94 eV per formula unit
**E above lowest polymorph**: 0.000 eV per atom
**ρ**: 7.61 g/cm3



# 7
First-principles (PBE-GGA) data for a geometry-optimized TiSb2RuPb structure, as listed in Alexandria.

```
TiSb2RuPb
1.0
5.335 0.000 0.000
0.000 4.567 0.000
0.000 0.000 5.335
Sb Ru Pb Ti
2 1 1 1
Cartesian
0.000 0.000 2.667
2.667 0.000 0.000
0.000 2.283 0.000
2.667 2.283 2.667
0.000 0.000 0.000
```

Properties
**SG**: P4/mmm
**ΔE_f (raw)**: 0.506 eV per atom
**Spin magnetization**: 0.0 Bohr magnetons per cell
**DFT total energy**: -26.59 eV per formula unit
**ρ**: 7.66 g/cm3



# 8
First-principles (PBE-GGA) data for a geometry-optimized SbRuPbW2 structure, as listed in Alexandria.

```
SbRuPbW2
1.0
-1.369 1.184 -4.709
-1.630 -5.102 -0.809
-4.612 1.213 1.646
W Pb Sb Ru
2 1 1 1
Cartesian
-2.306 0.606 0.823
-0.685 0.592 -2.355
0.000 0.000 0.000
-0.815 -2.551 -0.404
-3.806 -1.352 -1.936
```

Properties
**SG**: P4/mmm
**ΔE_f (raw)**: 3.243 eV per atom
**Spin magnetization**: 3.1 Bohr magnetons per cell
**DFT total energy**: -26.80 eV per formula unit
**ρ**: 9.61 g/cm3



# 9
First-principles (PBE-GGA) data for a geometry-optimized Sc2RuPb structure, as listed in Alexandria.

```
Sc2RuPb
1.0
-1.008 -1.658 5.047
-4.844 -2.332 0.582
4.120 -0.642 -3.443
Pb Sc Ru
1 2 1
Cartesian
-2.926 -1.995 2.815
-1.825 -2.484 -0.023
0.000 0.000 0.000
0.093 -2.148 2.209
```

Properties
**SG**: I-4m2
**Spin magnetization**: 0.0 Bohr magnetons per cell
**DFT total energy**: -26.59 eV per formula unit
**ρ**: 8.33 g/cm3
**DFT formation energy**: -0.24 eV/atom



# 10
First-principles (PBE-GGA) data for a geometry-optimized Sc8Ru2Pb structure, as listed in Alexandria.

```
Sc8Ru2Pb
1.0
4.711 0.059 -1.410
-0.848 5.960 -2.577
-0.033 0.060 8.463
Sc Ru Pb
8 2 1
Cartesian
3.976 2.674 1.707
2.735 5.643 -2.311
1.836 4.299 3.198
2.735 1.737 6.083
0.163 3.249 6.124
0.896 5.137 0.101
4.502 0.181 3.357
1.145 2.194 0.800
3.263 3.753 -0.621
1.939 1.722 3.437
-0.216 5.885 4.984
```

Properties
**SG**: Imm2
**Spin magnetization**: 0.0 Bohr magnetons per cell
**DFT total energy**: -76.49 eV per formula unit
**ρ**: 5.35 g/cm3
**DFT formation energy**: -0.33 eV/atom



# 11
First-principles (PBE-GGA) data for a geometry-optimized Sc4RuPb structure, as listed in Alexandria.

```
Sc4RuPb
1.0
5.254 -2.085 -0.148
0.817 -5.574 -0.484
2.054 -2.149 -4.810
Pb Sc Ru
1 4 1
Cartesian
6.094 -7.356 -4.081
3.032 -3.660 -2.031
4.075 -4.750 -4.471
3.447 -6.488 -2.276
5.698 -4.717 -2.106
0.000 0.000 0.000
```

Properties
**SG**: F-43m
**Spin magnetization**: 0.0 Bohr magnetons per cell
**DFT total energy**: -36.45 eV per formula unit
**E above lowest polymorph**: 0.715 eV per atom
**ρ**: 6.34 g/cm3
**DFT formation energy**: 0.31 eV/atom



# 12
First-principles (PBE-GGA) data for a geometry-optimized Sc6Ru2Pb structure, as listed in Alexandria.

```
Sc6Ru2Pb
1.0
-5.628 -3.783 -4.248
7.257 -0.891 -3.249
0.846 -2.935 7.396
Sc Ru Pb
12 4 2
Cartesian
-4.035 -3.693 -1.639
3.559 -4.795 0.376
5.570 -1.971 -0.947
-1.475 -2.978 -3.847
3.951 -4.630 3.745
2.294 -1.924 -0.620
6.512 -3.915 1.537
1.270 -4.273 -2.442
-1.083 -2.813 -0.478
1.206 -3.335 2.341
-3.094 -5.637 0.846
0.182 -5.684 0.519
-1.303 -3.872 2.130
0.543 -1.556 -2.496
1.087 -3.118 -5.001
3.779 -3.736 -2.232
4.052 -1.913 2.073
0.000 0.000 0.000
```

Properties
**SG**: Immm
**Spin magnetization**: 0.0 Bohr magnetons per cell
**DFT total energy**: -64.02 eV per formula unit
**ρ**: 5.76 g/cm3
**DFT formation energy**: -0.42 eV/atom



# 13
First-principles (PBE-GGA) data for a geometry-optimized Sc2RuPb structure, as listed in Alexandria.

```
Sc2RuPb
1.0
-2.743 -3.012 -8.593
-5.509 -3.559 -6.887
-4.903 -0.567 -8.129
Sc Ru Pb
2 1 1
Cartesian
-0.178 -0.096 -0.319
-3.274 -1.776 -5.875
-9.836 -5.337 -17.651
-6.446 -3.497 -11.567
```

Properties
**SG**: R3m
**Spin magnetization**: 0.8 Bohr magnetons per cell
**DFT total energy**: -25.37 eV per formula unit
**ρ**: 7.55 g/cm3
**DFT formation energy**: 0.07 eV/atom



# 14
First-principles (PBE-GGA) data for a geometry-optimized Sc2RuPb structure, as listed in Alexandria.

```
Sc2RuPb
1.0
-0.615 3.240 -0.626
-3.101 -0.785 -1.017
-2.497 0.868 6.947
Ru Sc Pb
1 2 1
Cartesian
-3.751 1.885 4.445
-2.496 1.449 0.954
-2.378 0.827 6.617
-1.333 0.463 3.710
```

Properties
**SG**: P4mm
**Spin magnetization**: 1.6 Bohr magnetons per cell
**DFT total energy**: -26.13 eV per formula unit
**ρ**: 7.89 g/cm3
**DFT formation energy**: -0.12 eV/atom



# 15
First-principles (PBE-GGA) data for a geometry-optimized Sc2RuPb structure, as listed in Alexandria.

```
Sc2RuPb
1.0
-1.463 -0.082 -2.906
-2.828 -0.776 1.446
-4.593 6.824 2.120
Sc Pb Ru
2 1 1
Cartesian
-3.807 3.427 1.820
-4.497 6.422 2.083
-2.587 1.471 -0.561
-6.298 4.496 1.221
```

Properties
**SG**: P2/m
**Spin magnetization**: 0.0 Bohr magnetons per cell
**DFT total energy**: -27.73 eV per formula unit
**ρ**: 7.93 g/cm3
**DFT formation energy**: -0.52 eV/atom



# 16
First-principles (PBE-GGA) data for a geometry-optimized Sc4RuPb2 structure, as listed in Alexandria.

```
Sc4RuPb2
1.0
-4.727 -0.670 -0.797
0.847 -0.317 -4.755
-0.968 -8.170 -2.091
Sc Pb Ru
4 2 1
Cartesian
-2.364 -0.335 -0.399
-1.298 -5.563 -2.324
-3.550 -3.594 -5.320
0.423 -0.158 -2.378
-3.181 -6.509 -5.060
-1.667 -2.648 -2.584
0.000 0.000 0.000
```

Properties
**SG**: I4/mmm
**Spin magnetization**: 0.0 Bohr magnetons per cell
**DFT total energy**: -43.54 eV per formula unit
**ρ**: 6.34 g/cm3
**DFT formation energy**: -0.22 eV/atom



# 17
First-principles (PBE-GGA) data for a geometry-optimized Sc2RuPb structure, as listed in Alexandria.

```
Sc2RuPb
1.0
-2.411 -4.074 0.062
3.539 -2.059 2.379
-1.519 0.945 3.077
Pb Ru Sc
1 1 2
Cartesian
-1.965 -1.564 1.569
1.010 -0.557 2.728
0.564 -3.066 1.220
0.000 0.000 0.000
```

Properties
**SG**: P4/mmm
**Spin magnetization**: 0.0 Bohr magnetons per cell
**DFT total energy**: -27.00 eV per formula unit
**ρ**: 8.29 g/cm3
**DFT formation energy**: -0.34 eV/atom



# 18
First-principles (PBE-GGA) data for a geometry-optimized Sc2RuPb structure, as listed in Alexandria.

```
Sc2RuPb
1.0
-3.134 -0.165 3.198
1.807 -2.387 1.648
3.531 2.721 3.601
Ru Sc Pb
1 2 1
Cartesian
2.282 0.882 5.421
5.042 0.208 4.952
-0.067 -0.065 3.070
2.954 -0.355 2.876
```

Properties
**SG**: Pm
**Spin magnetization**: 0.0 Bohr magnetons per cell
**DFT total energy**: -26.88 eV per formula unit
**ρ**: 7.89 g/cm3
**DFT formation energy**: -0.31 eV/atom



# 19
First-principles (PBE-GGA) data for a geometry-optimized ScRuPb structure, as listed in Alexandria.

```
ScRuPb
1.0
-3.640 1.802 -3.354
-4.818 1.472 1.537
5.132 0.716 0.948
Sc Pb Ru
1 1 1
Cartesian
-5.761 2.230 -1.237
-8.405 3.253 -1.805
-2.752 1.065 -0.591
```

Properties
**SG**: Imm2
**Spin magnetization**: 0.0 Bohr magnetons per cell
**DFT total energy**: -19.83 eV per formula unit
**ρ**: 10.06 g/cm3
**DFT formation energy**: -0.17 eV/atom



# 20
First-principles (PBE-GGA) data for a geometry-optimized Sc2RuPb structure, as listed in Alexandria.

```
Sc2RuPb
1.0
-0.892 -2.228 -4.122
-1.260 -4.601 0.000
-4.466 -1.250 -1.117
Pb Ru Sc
1 1 2
Cartesian
-3.309 -4.040 -2.620
-4.963 -6.059 -3.929
-1.654 -2.020 -1.310
0.000 0.000 0.000
```

Properties
**SG**: F-43m
**Spin magnetization**: 0.0 Bohr magnetons per cell
**DFT total energy**: -26.75 eV per formula unit
**ρ**: 8.62 g/cm3
**DFT formation energy**: -0.27 eV/atom